No. 1
First-principles (PBE-GGA) data for a relaxed structure of Zn3Pb12Au5, as listed in Alexandria via LeMat-Bulk.

Properties
magnetic moment = 0.000 Bohr magnetons per cell
E = -249.49 eV per cell
SG = Ia-3d (230)

Lattice parameters (Å, degrees): 14.6931 14.6931 14.6931 109.47 109.47 109.47
With the nearest neighbours (Å) after each atom.
Atoms (fractional coordinates):
Zn 0.7500 0.3750 0.1250  4 Pb 2.90
Zn 0.8750 0.7500 0.1250  4 Pb 2.90
Zn 0.3750 0.7500 0.6250  4 Pb 2.90
Zn 0.2500 0.1250 0.3750  4 Pb 2.90
Zn 0.8750 0.1250 0.2500  4 Pb 2.90
Zn 0.3750 0.6250 0.2500  4 Pb 2.90
Zn 0.6250 0.3750 0.7500  4 Pb 2.90
Zn 0.1250 0.8750 0.7500  4 Pb 2.90
Zn 0.7500 0.8750 0.6250  4 Pb 2.90
Zn 0.6250 0.2500 0.3750  4 Pb 2.90
Zn 0.1250 0.2500 0.8750  4 Pb 2.90
Zn 0.2500 0.6250 0.8750  4 Pb 2.90
Au 0.1250 0.3750 0.2500  4 Pb 2.81
Au 0.0000 0.5000 0.0000  6 Pb 2.91
Au 0.0000 0.0000 0.0000  6 Pb 2.91
Au 0.3750 0.2500 0.1250  4 Pb 2.81
Au 0.5000 0.0000 0.5000  6 Pb 2.91
Au 0.5000 0.5000 0.0000  6 Pb 2.91
Au 0.1250 0.7500 0.3750  4 Pb 2.81
Au 0.7500 0.1250 0.8750  4 Pb 2.81
Au 0.7500 0.6250 0.3750  4 Pb 2.81
Au 0.3750 0.1250 0.7500  4 Pb 2.81
Au 0.6250 0.8750 0.2500  4 Pb 2.81
Au 0.5000 0.5000 0.5000  6 Pb 2.91
Au 0.5000 0.0000 0.0000  6 Pb 2.91
Au 0.0000 0.0000 0.5000  6 Pb 2.91
Au 0.2500 0.3750 0.6250  4 Pb 2.81
Au 0.2500 0.8750 0.1250  4 Pb 2.81
Au 0.0000 0.5000 0.5000  6 Pb 2.91
Au 0.8750 0.2500 0.6250  4 Pb 2.81
Au 0.6250 0.7500 0.8750  4 Pb 2.81
Au 0.8750 0.6250 0.7500  4 Pb 2.81
Pb 0.7307 0.1247 0.0588  2 Au 2.81-2.91, 1 Zn 2.90
Pb 0.3281 0.5588 0.4341  2 Au 2.81-2.91, 1 Zn 2.90
Pb 0.9412 0.3753 0.2693  2 Au 2.81-2.91, 1 Zn 2.90
Pb 0.5588 0.2307 0.1247  2 Au 2.81-2.91, 1 Zn 2.90
Pb 0.6060 0.7307 0.6719  2 Au 2.81-2.91, 1 Zn 2.90
Pb 0.9412 0.5659 0.1719  2 Au 2.81-2.91, 1 Zn 2.90
Pb 0.3281 0.7693 0.3940  2 Au 2.81-2.91, 1 Zn 2.90
Pb 0.0659 0.8940 0.1247  2 Au 2.81-2.91, 1 Zn 2.90
Pb 0.5659 0.9412 0.6719  2 Au 2.81-2.91, 1 Zn 2.90
Pb 0.7307 0.6060 0.1719  2 Au 2.81-2.91, 1 Zn 2.90
Pb 0.7693 0.4412 0.3753  2 Au 2.81-2.91, 1 Zn 2.90
Pb 0.8281 0.9341 0.0588  2 Au 2.81-2.91, 1 Zn 2.90
Pb 0.1247 0.7307 0.5588  2 Au 2.81-2.91, 1 Zn 2.90
Pb 0.3753 0.4341 0.1060  2 Au 2.81-2.91, 1 Zn 2.90
Pb 0.1060 0.9341 0.3753  2 Au 2.81-2.91, 1 Zn 2.90
Pb 0.3940 0.1247 0.5659  2 Au 2.81-2.91, 1 Zn 2.90
Pb 0.1060 0.1719 0.2307  2 Au 2.81-2.91, 1 Zn 2.90
Pb 0.4412 0.6719 0.0659  2 Au 2.81-2.91, 1 Zn 2.90
Pb 0.8281 0.8940 0.2693  2 Au 2.81-2.91, 1 Zn 2.90
Pb 0.1247 0.3940 0.0659  2 Au 2.81-2.91, 1 Zn 2.90
Pb 0.3753 0.9412 0.7693  2 Au 2.81-2.91, 1 Zn 2.90
Pb 0.5659 0.6247 0.3940  2 Au 2.81-2.91, 1 Zn 2.90
Pb 0.9341 0.8281 0.5588  2 Au 2.81-2.91, 1 Zn 2.90
Pb 0.7693 0.3281 0.8940  2 Au 2.81-2.91, 1 Zn 2.90
Pb 0.4341 0.3753 0.6060  2 Au 2.81-2.91, 1 Zn 2.90
Pb 0.0659 0.1719 0.4412  2 Au 2.81-2.91, 1 Zn 2.90
Pb 0.2307 0.6719 0.1060  2 Au 2.81-2.91, 1 Zn 2.90
Pb 0.1719 0.1060 0.7307  2 Au 2.81-2.91, 1 Zn 2.90
Pb 0.6247 0.0588 0.2307  2 Au 2.81-2.91, 1 Zn 2.90
Pb 0.8753 0.6060 0.9341  2 Au 2.81-2.91, 1 Zn 2.90
Pb 0.5588 0.3281 0.9341  2 Au 2.81-2.91, 1 Zn 2.90
Pb 0.6060 0.8753 0.4341  2 Au 2.81-2.91, 1 Zn 2.90
Pb 0.8940 0.8281 0.7693  2 Au 2.81-2.91, 1 Zn 2.90
Pb 0.8940 0.0659 0.6247  2 Au 2.81-2.91, 1 Zn 2.90
Pb 0.8753 0.2693 0.4412  2 Au 2.81-2.91, 1 Zn 2.90
Pb 0.1719 0.0659 0.9412  2 Au 2.81-2.91, 1 Zn 2.90
Pb 0.6247 0.5659 0.8940  2 Au 2.81-2.91, 1 Zn 2.90
Pb 0.4341 0.0588 0.3281  2 Au 2.81-2.91, 1 Zn 2.90
Pb 0.2693 0.3940 0.8281  2 Au 2.81-2.91, 1 Zn 2.90
Pb 0.2307 0.5588 0.6247  2 Au 2.81-2.91, 1 Zn 2.90
Pb 0.9341 0.1060 0.8753  2 Au 2.81-2.91, 1 Zn 2.90
Pb 0.6719 0.2307 0.6060  2 Au 2.81-2.91, 1 Zn 2.90
Pb 0.4412 0.7693 0.8753  2 Au 2.81-2.91, 1 Zn 2.90
Pb 0.0588 0.4341 0.8281  2 Au 2.81-2.91, 1 Zn 2.90
Pb 0.3940 0.2693 0.3281  2 Au 2.81-2.91, 1 Zn 2.90
Pb 0.0588 0.6247 0.7307  2 Au 2.81-2.91, 1 Zn 2.90
Pb 0.6719 0.4412 0.5659  2 Au 2.81-2.91, 1 Zn 2.90
Pb 0.2693 0.8753 0.9412  2 Au 2.81-2.91, 1 Zn 2.90

=====

No. 2
First-principles (PBE-GGA) data for a relaxed structure of Zn4PbAu8, as listed in Alexandria via LeMat-Bulk.

Properties
magnetic moment = 0.000 Bohr magnetons per cell
E = -36.86 eV per cell
SG = I4/mmm (139)

Lattice parameters (Å, degrees): 5.5114 7.1131 7.1131 81.37 67.21 67.21
With the nearest neighbours (Å) after each atom.
Atoms (fractional coordinates):
Zn 0.0000 0.0000 0.5000  8 Au 2.71-2.82, 2 Zn 2.76
Zn 0.5000 0.0000 0.5000  8 Au 2.71-2.82, 2 Zn 2.76
Zn 0.0000 0.5000 0.0000  8 Au 2.71-2.82, 2 Zn 2.76
Zn 0.5000 0.5000 0.0000  8 Au 2.71-2.82, 2 Zn 2.76
Pb 0.0000 0.0000 0.0000  12 Au 3.13-3.44
Au 0.0000 0.3378 0.6622  4 Zn 2.82, 5 Au 2.96-3.01, 1 Pb 3.13
Au 0.0000 0.6622 0.3378  4 Zn 2.82, 5 Au 2.96-3.01, 1 Pb 3.13
Au 0.3378 0.6622 0.6622  4 Zn 2.82, 5 Au 2.96-3.01, 1 Pb 3.13
Au 0.6622 0.3378 0.3378  4 Zn 2.82, 5 Au 2.96-3.01, 1 Pb 3.13
Au 0.5000 0.7787 0.2213  4 Zn 2.71, 6 Au 2.90-2.99
Au 0.5000 0.2213 0.7787  4 Zn 2.71, 6 Au 2.90-2.99
Au 0.2787 0.2213 0.2213  4 Zn 2.71, 6 Au 2.90-2.99
Au 0.7213 0.7787 0.7787  4 Zn 2.71, 6 Au 2.90-2.99

=====

No. 3
First-principles (PBE-GGA) data for a relaxed structure of Zn2PbAu, as listed in Alexandria via LeMat-Bulk.

Properties
magnetic moment = 0.000 Bohr magnetons per cell
E = -18.39 eV per cell
SG = I-42d (122)

Lattice parameters (Å, degrees): 7.6695 7.6695 6.2016 51.80 51.80 90.00
With the nearest neighbours (Å) after each atom.
Atoms (fractional coordinates):
Pb 0.0000 0.0000 0.0000  2 Au 3.01, 4 Zn 3.01
Pb 0.7500 0.2500 0.5000  2 Au 3.01, 4 Zn 3.01
Zn 0.5881 0.1250 0.2500  2 Au 2.63
Zn 0.1619 0.6250 0.2500  2 Au 2.63
Zn 0.3750 0.4119 0.7500  2 Au 2.63
Zn 0.8750 0.8381 0.7500  2 Au 2.63
Au 0.5000 0.5000 0.0000  4 Zn 2.63
Au 0.2500 0.7500 0.5000  4 Zn 2.63

=====

No. 4
First-principles (PBE-GGA) data for a relaxed structure of Zn2PbAu, as listed in Alexandria via LeMat-Bulk.

Properties
magnetic moment = 0.000 Bohr magnetons per cell
E = -9.65 eV per cell
SG = R-3m (166)

Lattice parameters (Å, degrees): 5.7131 5.7131 5.7131 45.51 45.51 45.51
With the nearest neighbours (Å) after each atom.
Atoms (fractional coordinates):
Au 0.2500 0.2500 0.2500  6 Zn 2.64
Pb 0.7500 0.7500 0.7500  8 Zn 3.16-3.24
Zn 0.9615 0.9615 0.9615  3 Au 2.64, 3 Zn 2.90
Zn 0.5385 0.5385 0.5385  3 Au 2.64, 3 Zn 2.90

=====

No. 5
First-principles (PBE-GGA) data for a relaxed structure of Zn2PbAu, as listed in Alexandria via LeMat-Bulk.

Properties
magnetic moment = 0.000 Bohr magnetons per cell
E = -9.47 eV per cell
SG = P4mm (99)

Lattice parameters (Å, degrees): 3.4450 3.4454 6.8495 90.00 90.00 90.00
With the nearest neighbours (Å) after each atom.
Atoms (fractional coordinates):
Au 0.0000 0.0000 0.4396  5 Zn 2.65-2.75
Pb 0.5000 0.5000 0.7558  6 Zn 3.17-3.45, 4 Au 3.26, 4 Pb 3.45
Zn 0.0000 0.0000 0.0524  1 Au 2.65, 4 Zn 2.79
Zn 0.5000 0.5000 0.2522  4 Au 2.75, 4 Zn 2.79

=====

No. 6
First-principles (PBE-GGA) data for a relaxed structure of Zn2PbAu, as listed in Alexandria via LeMat-Bulk.

Properties
magnetic moment = 0.000 Bohr magnetons per cell
E = -9.50 eV per cell
SG = Pm (6)

Lattice parameters (Å, degrees): 4.5712 3.6754 5.2091 87.07 90.00 90.00
With the nearest neighbours (Å) after each atom.
Atoms (fractional coordinates):
Au 0.0000 0.2562 0.5024  4 Zn 2.60-2.64
Pb 0.5000 0.7476 0.7457  8 Zn 3.08-3.31, 4 Au 3.18-3.21
Zn 0.0000 0.2295 0.0046  2 Au 2.60-2.61, 2 Zn 2.62
Zn 0.5000 0.2667 0.2473  2 Zn 2.62, 2 Au 2.64

=====

No. 7
First-principles (PBE-GGA) data for a relaxed structure of ZnPbAu2, as listed in Alexandria via LeMat-Bulk.

Properties
magnetic moment = 0.000 Bohr magnetons per cell
distance to the lowest polymorph of the same formula = 0.000 eV/atom
E = -24.14 eV per cell
SG = P2_1/m (11)

Lattice parameters (Å, degrees): 4.0771 5.6784 8.0928 116.40 90.00 90.00
With the nearest neighbours (Å) after each atom.
Atoms (fractional coordinates):
Zn 0.7500 0.7732 0.3951  7 Au 2.67-2.95
Zn 0.2500 0.2268 0.6049  7 Au 2.67-2.95
Pb 0.2500 0.3042 0.0841  6 Au 3.01-3.32
Pb 0.7500 0.6958 0.9159  6 Au 3.01-3.32
Au 0.2500 0.8925 0.2326  3 Zn 2.67-2.76, 2 Au 2.93
Au 0.7500 0.1075 0.7674  3 Zn 2.67-2.76, 2 Au 2.93
Au 0.7500 0.3006 0.4075  4 Zn 2.73-2.95, 4 Au 2.92-2.93
Au 0.2500 0.6994 0.5925  4 Zn 2.73-2.95, 4 Au 2.92-2.93

=====

No. 8
First-principles (PBE-GGA) data for a relaxed structure of Zn2PbAu, as listed in Alexandria via LeMat-Bulk.

Properties
magnetic moment = 0.000 Bohr magnetons per cell
E = -9.13 eV per cell
SG = I-4m2 (119)

Lattice parameters (Å, degrees): 5.4196 5.4196 5.4196 133.94 133.94 67.19
With the nearest neighbours (Å) after each atom.
Atoms (fractional coordinates):
Au 0.5000 0.5000 0.0000  8 Zn 3.00-3.10, 4 Pb 3.10
Pb 0.7500 0.2500 0.5000  8 Zn 3.00-3.10, 4 Au 3.10
Zn 0.0000 0.0000 0.0000  4 Au 3.00, 4 Pb 3.10, 4 Zn 3.10
Zn 0.2500 0.7500 0.5000  4 Pb 3.00, 4 Zn 3.10, 4 Au 3.10

=====

No. 9
First-principles (PBE-GGA) data for a relaxed structure of ZnPb2Au, as listed in Alexandria via LeMat-Bulk.

Properties
magnetic moment = 0.000 Bohr magnetons per cell
E = -12.10 eV per cell
SG = Pm (6)

Lattice parameters (Å, degrees): 4.2539 4.2452 5.7754 70.10 90.00 90.00
With the nearest neighbours (Å) after each atom.
Atoms (fractional coordinates):
Pb 0.0000 0.9781 0.9306  3 Zn 2.95-3.27, 4 Au 3.10-3.16
Pb 0.5000 0.2693 0.3267  3 Au 3.03-3.21, 4 Zn 3.08-3.14
Zn 0.0000 0.6899 0.4739  2 Au 2.66, 1 Pb 2.95
Au 0.5000 0.5627 0.7689  2 Zn 2.66

=====

No. 10
First-principles (PBE-GGA) data for a relaxed structure of ZnPbAu2, as listed in Alexandria via LeMat-Bulk.

Properties
magnetic moment = 0.000 Bohr magnetons per cell
distance to the lowest polymorph of the same formula = 0.111 eV/atom
E = -11.62 eV per cell
SG = P4mm (99)

Lattice parameters (Å, degrees): 3.4982 3.4982 6.8625 90.00 90.00 90.00
With the nearest neighbours (Å) after each atom.
Atoms (fractional coordinates):
Au 0.0000 0.0000 0.9748  4 Zn 2.69, 4 Au 2.99
Au 0.5000 0.5000 0.2195  1 Zn 2.74, 4 Au 2.99
Pb 0.0000 0.0000 0.4862  5 Au 3.08-3.35, 4 Zn 3.37
Zn 0.5000 0.5000 0.8195  5 Au 2.69-2.74

=====

No. 11
First-principles (PBE-GGA) data for a relaxed structure of ZnPb2Au, as listed in Alexandria via LeMat-Bulk.

Properties
magnetic moment = 0.000 Bohr magnetons per cell
E = -22.92 eV per cell
SG = I-42d (122)

Lattice parameters (Å, degrees): 8.0117 8.0117 6.5217 52.10 52.10 90.00
With the nearest neighbours (Å) after each atom.
Atoms (fractional coordinates):
Pb 0.6281 0.1250 0.2500  2 Au 2.93, 2 Zn 2.96, 2 Pb 3.23
Pb 0.1219 0.6250 0.2500  2 Au 2.93, 2 Zn 2.96, 2 Pb 3.23
Pb 0.3750 0.3719 0.7500  2 Au 2.93, 2 Zn 2.96, 2 Pb 3.23
Pb 0.8750 0.8781 0.7500  2 Au 2.93, 2 Zn 2.96, 2 Pb 3.23
Zn 0.5000 0.5000 0.0000  4 Pb 2.96, 2 Au 3.23
Zn 0.2500 0.7500 0.5000  4 Pb 2.96, 2 Au 3.23
Au 0.0000 0.0000 0.0000  4 Pb 2.93, 2 Zn 3.23
Au 0.7500 0.2500 0.5000  4 Pb 2.93, 2 Zn 3.23

=====

No. 12
First-principles (PBE-GGA) data for a relaxed structure of Zn6PbAu6, as listed in Alexandria via LeMat-Bulk.

Properties
magnetic moment = 0.000 Bohr magnetons per cell
E = -32.91 eV per cell
SG = Immm (71)

Lattice parameters (Å, degrees): 5.2665 7.0939 7.0939 80.01 68.21 68.21
With the nearest neighbours (Å) after each atom.
Atoms (fractional coordinates):
Zn 0.0000 0.5000 0.0000  4 Zn 2.63-2.72, 6 Au 2.71-2.84
Zn 0.5000 0.5000 0.0000  4 Zn 2.63-2.72, 6 Au 2.71-2.84
Zn 0.0000 0.0000 0.5000  4 Zn 2.63-2.72, 6 Au 2.71-2.84
Zn 0.5000 0.0000 0.5000  4 Zn 2.63-2.72, 6 Au 2.71-2.84
Zn 0.5000 0.7617 0.2383  4 Zn 2.72, 6 Au 2.79-2.80
Zn 0.5000 0.2383 0.7617  4 Zn 2.72, 6 Au 2.79-2.80
Pb 0.0000 0.0000 0.0000  8 Au 3.11-3.29, 4 Zn 3.41
Au 0.3458 0.6542 0.6542  6 Zn 2.79-2.80, 3 Au 2.93-3.05
Au 0.6542 0.3458 0.3458  6 Zn 2.79-2.80, 3 Au 2.93-3.05
Au 0.0000 0.3408 0.6592  6 Zn 2.79-2.84, 1 Au 2.90, 1 Pb 3.11
Au 0.0000 0.6592 0.3408  6 Zn 2.79-2.84, 1 Au 2.90, 1 Pb 3.11
Au 0.3158 0.1842 0.1842  6 Zn 2.71-2.79
Au 0.6842 0.8158 0.8158  6 Zn 2.71-2.79

=====

> The highest E belongs to which entry?

number 8

=====

> The highest E belongs to which entry?

number 8

=====

> The lowest E belongs to which entry?

Zn3Pb12Au5

=====

> Which value of E does entry 6 give?

-9.50 eV per cell